Entry from Alexandria: an optimized crystal structure of Nd3YHg (PBE).

Geometry as POSCAR:
```
Nd3YHg
1.0
3.6521 0.0000 -0.6462
-0.2190 8.7655 -1.2375
-0.0457 -1.2491 10.3849
Y Nd Hg
2 6 2
direct
0.2908 0.1814 0.5816 Y
0.7092 0.8186 0.4184 Y
0.1823 0.4522 0.3645 Nd
0.0280 0.7722 0.0559 Nd
0.6268 0.1102 0.2537 Nd
0.9720 0.2278 0.9441 Nd
0.8177 0.5478 0.6355 Nd
0.3732 0.8898 0.7463 Nd
0.4282 0.4913 0.8565 Hg
0.5718 0.5087 0.1435 Hg
```

Values from the calculation:
* V: 163.18 Å³/f.u.
* M_tot: 0.0 Bohr magnetons per cell
* formation energy: -0.09 eV/atom


Entry from Alexandria: an optimized crystal structure of Be3Mo (PBE).

Geometry as POSCAR:
```
Be3Mo
1.0
-3.1762 -0.7136 -0.9893
-0.4548 -3.6877 4.1201
-2.9173 5.9938 5.0427
Be Mo
12 4
direct
0.2500 0.9099 0.8519 Be
0.2500 0.0448 0.6094 Be
0.7500 0.0901 0.1481 Be
0.7500 0.2683 0.5371 Be
0.7500 0.4552 0.1094 Be
0.7500 0.5901 0.3519 Be
0.7500 0.7683 0.9629 Be
0.2500 0.5448 0.8906 Be
0.2500 0.4099 0.6481 Be
0.2500 0.2317 0.0371 Be
0.2500 0.7317 0.4629 Be
0.7500 0.9552 0.3906 Be
0.2500 0.7826 0.1732 Mo
0.7500 0.7174 0.6732 Mo
0.2500 0.2826 0.3268 Mo
0.7500 0.2174 0.8268 Mo
```

Values from the calculation:
* V: 39.45 Å³/f.u.
* M_tot: 0.0 Bohr magnetons per cell
* formation energy: -0.13 eV/atom


Entry from Alexandria: an optimized crystal structure of LaNd2SmY5 (PBE).

Geometry as POSCAR:
```
LaNd2SmY5
1.0
-0.0828 7.5911 -4.4375
-7.2071 -2.6008 -4.3146
-0.8635 0.7238 9.9666
Nd La Y Sm
4 2 10 2
direct
0.6173 0.1173 0.0000 Nd
0.3827 0.8827 0.0000 Nd
0.1173 0.3827 0.0000 Nd
0.8827 0.6173 0.0000 Nd
0.7500 0.7500 0.5000 La
0.2500 0.2500 0.5000 La
0.5000 0.5000 0.0000 Y
0.8440 0.9279 0.2719 Y
0.5721 0.6560 0.7281 Y
0.4279 0.3440 0.2719 Y
0.9279 0.4279 0.2719 Y
0.0000 0.0000 0.0000 Y
0.3440 0.8440 0.2719 Y
0.6560 0.1560 0.7281 Y
0.1560 0.0721 0.7281 Y
0.0721 0.5721 0.7281 Y
0.7500 0.2500 0.5000 Sm
0.2500 0.7500 0.5000 Sm
```

Values from the calculation:
* V: 304.28 Å³/f.u.
* M_tot: 0.0 Bohr magnetons per cell
* formation energy: 0.23 eV/atom


Entry from Alexandria: an optimized crystal structure of MgTl2As (PBE).

Geometry as POSCAR:
```
MgTl2As
1.0
5.6145 0.0372 0.0000
1.5636 5.3925 0.0000
-3.5890 -2.7148 3.3574
Tl Mg As
2 1 1
direct
0.0000 0.0000 0.0000 Tl
0.2500 0.7500 0.5000 Tl
0.7500 0.2500 0.5000 Mg
0.5000 0.5000 0.0000 As
```

Values from the calculation:
* V: 101.45 Å³/f.u.
* M_tot: 0.0 Bohr magnetons per cell
* formation energy: 0.03 eV/atom